Run 1
# PBE HoErScCd, relaxed
# N(E_F): 5.31 states/eV per cell
data_HoErScCd
_chemical_formula_sum 'Ho1 Er1 Sc1 Cd1'
_cell_length_a 3.5326
_cell_length_b 3.5326
_cell_length_c 8.6146
_cell_angle_alpha 90.00
_cell_angle_beta 90.00
_cell_angle_gamma 90.00
_space_group_name_H-M_alt 'P 4 m m'
_space_group_IT_number 99
loop_
_space_group_symop_operation_xyz
'x,y,z'
'-y,x,z'
'-x,-y,z'
'y,-x,z'
'-x,y,z'
'y,x,z'
'x,-y,z'
'-y,-x,z'
loop_
_atom_site_label
_atom_site_type_symbol
_atom_site_fract_x
_atom_site_fract_y
_atom_site_fract_z
Ho1 Ho 0.0000 0.0000 0.0000
Er1 Er 0.0000 0.0000 0.5158
Sc1 Sc 0.5000 0.5000 0.2586
Cd1 Cd 0.5000 0.5000 0.7564



Run 2
# PBE HoErScCd, relaxed
# N(E_F): 20.79 states/eV per cell
data_HoErScCd
_chemical_formula_sum 'Ho4 Er4 Sc4 Cd4'
_cell_length_a 7.5057
_cell_length_b 7.5057
_cell_length_c 7.5057
_cell_angle_alpha 90.00
_cell_angle_beta 90.00
_cell_angle_gamma 90.00
_space_group_name_H-M_alt 'F -4 3 m'
_space_group_IT_number 216
_space_group_name_Hall 'F -4 2 3'
loop_
_atom_site_label
_atom_site_type_symbol
_atom_site_fract_x
_atom_site_fract_y
_atom_site_fract_z
Ho1 Ho 0.0000 0.0000 0.0000
Er1 Er 0.0000 0.0000 0.5000
Sc1 Sc 0.2500 0.2500 0.7500
Cd1 Cd 0.2500 0.2500 0.2500



What should be chosen as the least stable of them? Choose run 2.



Run 1
# PBE HoErTmCd, relaxed
# N(E_F): 19.62 states/eV per cell
data_HoErTmCd
_chemical_formula_sum 'Ho4 Er4 Tm4 Cd4'
_cell_length_a 7.6248
_cell_length_b 7.6248
_cell_length_c 7.6248
_cell_angle_alpha 90.00
_cell_angle_beta 90.00
_cell_angle_gamma 90.00
_space_group_name_H-M_alt 'F -4 3 m'
_space_group_IT_number 216
_space_group_name_Hall 'F -4 2 3'
loop_
_atom_site_label
_atom_site_type_symbol
_atom_site_fract_x
_atom_site_fract_y
_atom_site_fract_z
Ho1 Ho 0.0000 0.0000 0.0000
Er1 Er 0.0000 0.0000 0.5000
Tm1 Tm 0.2500 0.2500 0.2500
Cd1 Cd 0.2500 0.2500 0.7500



Run 2
# PBE HoErTmCd, relaxed
# N(E_F): 4.95 states/eV per cell
data_HoErTmCd
_chemical_formula_sum 'Ho1 Er1 Tm1 Cd1'
_cell_length_a 3.5403
_cell_length_b 3.5403
_cell_length_c 9.0132
_cell_angle_alpha 90.00
_cell_angle_beta 90.00
_cell_angle_gamma 90.00
_space_group_name_H-M_alt 'P 4 m m'
_space_group_IT_number 99
loop_
_space_group_symop_operation_xyz
'x,y,z'
'-y,x,z'
'-x,-y,z'
'y,-x,z'
'-x,y,z'
'y,x,z'
'x,-y,z'
'-y,-x,z'
loop_
_atom_site_label
_atom_site_type_symbol
_atom_site_fract_x
_atom_site_fract_y
_atom_site_fract_z
Ho1 Ho 0.0000 0.0000 0.0000
Er1 Er 0.0000 0.0000 0.4614
Tm1 Tm 0.5000 0.5000 0.7302
Cd1 Cd 0.5000 0.5000 0.2321



What should be chosen as the least stable of them? Choose run 1.



Run 1
# PBE HoErZnCd, relaxed
# N(E_F): 12.90 states/eV per cell
data_HoErZnCd
_chemical_formula_sum 'Ho4 Er4 Zn4 Cd4'
_cell_length_a 7.2807
_cell_length_b 7.2807
_cell_length_c 7.2807
_cell_angle_alpha 90.00
_cell_angle_beta 90.00
_cell_angle_gamma 90.00
_space_group_name_H-M_alt 'F -4 3 m'
_space_group_IT_number 216
_space_group_name_Hall 'F -4 2 3'
loop_
_atom_site_label
_atom_site_type_symbol
_atom_site_fract_x
_atom_site_fract_y
_atom_site_fract_z
Ho1 Ho 0.0000 0.0000 0.0000
Er1 Er 0.0000 0.0000 0.5000
Zn1 Zn 0.2500 0.2500 0.7500
Cd1 Cd 0.2500 0.2500 0.2500



Run 2
# PBE HoErZnCd, relaxed
# N(E_F): 3.81 states/eV per cell
data_HoErZnCd
_chemical_formula_sum 'Ho1 Er1 Zn1 Cd1'
_cell_length_a 3.5706
_cell_length_b 3.5706
_cell_length_c 7.5112
_cell_angle_alpha 90.00
_cell_angle_beta 90.00
_cell_angle_gamma 90.00
_space_group_name_H-M_alt 'P 4 m m'
_space_group_IT_number 99
loop_
_space_group_symop_operation_xyz
'x,y,z'
'-y,x,z'
'-x,-y,z'
'y,-x,z'
'-x,y,z'
'y,x,z'
'x,-y,z'
'-y,-x,z'
loop_
_atom_site_label
_atom_site_type_symbol
_atom_site_fract_x
_atom_site_fract_y
_atom_site_fract_z
Ho1 Ho 0.0000 0.0000 0.0000
Er1 Er 0.0000 0.0000 0.4608
Zn1 Zn 0.5000 0.5000 0.2327
Cd1 Cd 0.5000 0.5000 0.7285



What should be chosen as the least stable of them? Choose run 1.



Run 1
# PBE Er3Cd2In3, relaxed
# N(E_F): 22.78 states/eV per cell
data_Er3Cd2In3
_chemical_formula_sum 'Er12 Cd8 In12'
_cell_length_a 4.7164
_cell_length_b 11.3336
_cell_length_c 15.3619
_cell_angle_alpha 90.00
_cell_angle_beta 90.00
_cell_angle_gamma 90.00
_space_group_name_H-M_alt 'C m c m'
_space_group_IT_number 63
_space_group_name_Hall '-C 2c 2'
loop_
_atom_site_label
_atom_site_type_symbol
_atom_site_fract_x
_atom_site_fract_y
_atom_site_fract_z
Er1 Er 0.0000 0.0759 0.1134
Er2 Er 0.0000 0.3378 0.2500
Cd1 Cd 0.0000 0.2177 0.6055
In1 In 0.0000 0.3817 0.7500
In2 In 0.0000 0.3901 0.0451



Run 2
# PBE Er3Cd2In3, relaxed
# N(E_F): 8.93 states/eV per cell
data_Er3Cd2In3
_chemical_formula_sum 'Er6 Cd4 In6'
_cell_length_a 8.9065
_cell_length_b 8.9065
_cell_length_c 5.9701
_cell_angle_alpha 90.00
_cell_angle_beta 90.00
_cell_angle_gamma 120.00
_space_group_name_H-M_alt 'P 63/m c m'
_space_group_IT_number 193
_space_group_name_Hall '-P 6c 2'
loop_
_atom_site_label
_atom_site_type_symbol
_atom_site_fract_x
_atom_site_fract_y
_atom_site_fract_z
Er1 Er 0.0000 0.2369 0.2500
Cd1 Cd 0.3333 0.6667 0.0000
In1 In 0.0000 0.3999 0.7500



What should be chosen as the least stable of them? Choose run 2.



Run 1
# PBE Er6CdIn5, relaxed
# N(E_F): 17.71 states/eV per cell
data_Er6CdIn5
_chemical_formula_sum 'Er12 Cd2 In10'
_cell_length_a 6.3117
_cell_length_b 10.9822
_cell_length_c 9.8772
_cell_angle_alpha 90.00
_cell_angle_beta 102.50
_cell_angle_gamma 90.00
_space_group_name_H-M_alt 'C 1 2/m 1'
_space_group_IT_number 12
loop_
_space_group_symop_operation_xyz
'x,y,z'
'-x,-y,-z'
'-x,y,-z'
'x,-y,z'
'x+1/2,y+1/2,z'
'-x+1/2,-y+1/2,-z'
'-x+1/2,y+1/2,-z'
'x+1/2,-y+1/2,z'
loop_
_atom_site_label
_atom_site_type_symbol
_atom_site_fract_x
_atom_site_fract_y
_atom_site_fract_z
Er1 Er 0.2488 0.0000 0.2491
Er2 Er 0.2491 0.1667 0.7488
Cd1 Cd 0.0000 0.0000 0.5000
In1 In 0.0000 0.1685 0.0000
In2 In 0.0000 0.3350 0.5000
In3 In 0.0000 0.5000 0.0000



Run 2
# PBE Er6CdIn5, relaxed
# N(E_F): 14.30 states/eV per cell
data_Er6CdIn5
_chemical_formula_sum 'Er12 Cd2 In10'
_cell_length_a 5.2939
_cell_length_b 15.9053
_cell_length_c 7.3716
_cell_angle_alpha 90.00
_cell_angle_beta 90.00
_cell_angle_gamma 90.00
_space_group_name_H-M_alt 'C m m m'
_space_group_IT_number 65
_space_group_name_Hall '-C 2 2'
loop_
_atom_site_label
_atom_site_type_symbol
_atom_site_fract_x
_atom_site_fract_y
_atom_site_fract_z
Er1 Er 0.0000 0.0000 0.2498
Er2 Er 0.0000 0.3335 0.2485
Cd1 Cd 0.0000 0.5000 0.0000
In1 In 0.0000 0.1640 0.0000
In2 In 0.0000 0.1670 0.5000
In3 In 0.0000 0.5000 0.5000



What should be chosen as the least stable of them? Choose run 1.



Run 1
# PBE Er4Cd2In, relaxed
# N(E_F): 22.67 states/eV per cell
data_Er4Cd2In
_chemical_formula_sum 'Er12 Cd6 In3'
_cell_length_a 5.1895
_cell_length_b 5.1895
_cell_length_c 25.0930
_cell_angle_alpha 90.00
_cell_angle_beta 90.00
_cell_angle_gamma 120.00
_space_group_name_H-M_alt 'R -3 m'
_space_group_IT_number 166
_space_group_name_Hall '-R 3 2"'
loop_
_atom_site_label
_atom_site_type_symbol
_atom_site_fract_x
_atom_site_fract_y
_atom_site_fract_z
Er1 Er 0.0000 0.0000 0.1166
Er2 Er 0.0000 0.0000 0.3705
Cd1 Cd 0.0000 0.0000 0.2470
In1 In 0.0000 0.0000 0.5000



Run 2
# PBE Er4Cd2In, relaxed
# N(E_F): 27.88 states/eV per cell
data_Er4Cd2In
_chemical_formula_sum 'Er12 Cd6 In3'
_cell_length_a 5.0351
_cell_length_b 5.0351
_cell_length_c 28.8421
_cell_angle_alpha 90.00
_cell_angle_beta 90.00
_cell_angle_gamma 120.00
_space_group_name_H-M_alt 'R -3 m'
_space_group_IT_number 166
_space_group_name_Hall '-R 3 2"'
loop_
_atom_site_label
_atom_site_type_symbol
_atom_site_fract_x
_atom_site_fract_y
_atom_site_fract_z
Er1 Er 0.0000 0.0000 0.1217
Er2 Er 0.0000 0.0000 0.2967
Cd1 Cd 0.0000 0.0000 0.4018
In1 In 0.0000 0.0000 0.5000



What should be chosen as the least stable of them? Choose run 2.



Run 1
# PBE ErCdIn2, relaxed
# N(E_F): 2.69 states/eV per cell
data_ErCdIn2
_chemical_formula_sum 'Er1 Cd1 In2'
_cell_length_a 3.6152
_cell_length_b 3.6152
_cell_length_c 7.6963
_cell_angle_alpha 90.00
_cell_angle_beta 90.00
_cell_angle_gamma 90.00
_space_group_name_H-M_alt 'P 4/m m m'
_space_group_IT_number 123
_space_group_name_Hall '-P 4 2'
loop_
_atom_site_label
_atom_site_type_symbol
_atom_site_fract_x
_atom_site_fract_y
_atom_site_fract_z
Er1 Er 0.0000 0.0000 0.0000
Cd1 Cd 0.0000 0.0000 0.5000
In1 In 0.5000 0.5000 0.2633



Run 2
# PBE ErCdIn2, relaxed
# N(E_F): 1.82 states/eV per cell
data_ErCdIn2
_chemical_formula_sum 'Er1 Cd1 In2'
_cell_length_a 4.5987
_cell_length_b 4.5987
_cell_length_c 4.5293
_cell_angle_alpha 90.00
_cell_angle_beta 90.00
_cell_angle_gamma 90.00
_space_group_name_H-M_alt 'P 4/m m m'
_space_group_IT_number 123
_space_group_name_Hall '-P 4 2'
loop_
_atom_site_label
_atom_site_type_symbol
_atom_site_fract_x
_atom_site_fract_y
_atom_site_fract_z
Er1 Er 0.0000 0.0000 0.0000
Cd1 Cd 0.5000 0.5000 0.0000
In1 In 0.0000 0.5000 0.5000



What should be chosen as the least stable of them? Choose run 1.



Run 1
# PBE ErCdIn2, relaxed
# N(E_F): 5.52 states/eV per cell
data_ErCdIn2
_chemical_formula_sum 'Er3 Cd3 In6'
_cell_length_a 4.7883
_cell_length_b 4.7883
_cell_length_c 15.4218
_cell_angle_alpha 90.00
_cell_angle_beta 90.00
_cell_angle_gamma 120.00
_space_group_name_H-M_alt 'R -3 m'
_space_group_IT_number 166
_space_group_name_Hall '-R 3 2"'
loop_
_atom_site_label
_atom_site_type_symbol
_atom_site_fract_x
_atom_site_fract_y
_atom_site_fract_z
Er1 Er 0.0000 0.0000 0.0000
Cd1 Cd 0.0000 0.0000 0.5000
In1 In 0.0000 0.0000 0.2346



Run 2
# PBE ErCdIn2, relaxed
# N(E_F): 8.71 states/eV per cell
data_ErCdIn2
_chemical_formula_sum 'Er4 Cd4 In8'
_cell_length_a 7.3756
_cell_length_b 7.3756
_cell_length_c 7.3756
_cell_angle_alpha 90.00
_cell_angle_beta 90.00
_cell_angle_gamma 90.00
_space_group_name_H-M_alt 'F m -3 m'
_space_group_IT_number 225
_space_group_name_Hall '-F 4 2 3'
loop_
_atom_site_label
_atom_site_type_symbol
_atom_site_fract_x
_atom_site_fract_y
_atom_site_fract_z
Er1 Er 0.0000 0.0000 0.0000
Cd1 Cd 0.0000 0.0000 0.5000
In1 In 0.2500 0.2500 0.2500



What should be chosen as the least stable of them? Choose run 2.



Run 1
# PBE Er2CdIn2, relaxed
# N(E_F): 4.59 states/eV per cell
data_Er2CdIn2
_chemical_formula_sum 'Er4 Cd2 In4'
_cell_length_a 7.4271
_cell_length_b 7.4271
_cell_length_c 4.7219
_cell_angle_alpha 90.00
_cell_angle_beta 90.00
_cell_angle_gamma 90.00
_space_group_name_H-M_alt 'P 4/m b m'
_space_group_IT_number 127
_space_group_name_Hall '-P 4 2ab'
loop_
_atom_site_label
_atom_site_type_symbol
_atom_site_fract_x
_atom_site_fract_y
_atom_site_fract_z
Er1 Er 0.1665 0.3335 0.0000
Cd1 Cd 0.0000 0.0000 0.5000
In1 In 0.1375 0.6375 0.5000



Run 2
# PBE Er2CdIn2, relaxed
# N(E_F): 3.69 states/eV per cell
data_Er2CdIn2
_chemical_formula_sum 'Er2 Cd1 In2'
_cell_length_a 3.4936
_cell_length_b 3.4936
_cell_length_c 13.0573
_cell_angle_alpha 90.00
_cell_angle_beta 90.00
_cell_angle_gamma 120.00
_space_group_name_H-M_alt 'P -3 m 1'
_space_group_IT_number 164
_space_group_name_Hall '-P 3 2"'
loop_
_atom_site_label
_atom_site_type_symbol
_atom_site_fract_x
_atom_site_fract_y
_atom_site_fract_z
Er1 Er 0.3333 0.6667 0.1924
Cd1 Cd 0.0000 0.0000 0.0000
In1 In 0.0000 0.0000 0.3893



What should be chosen as the least stable of them? Choose run 2.



Run 1
# PBE Er2Cd3In2, relaxed
# N(E_F): 7.34 states/eV per cell
data_Er2Cd3In2
_chemical_formula_sum 'Er4 Cd6 In4'
_cell_length_a 11.1334
_cell_length_b 4.6424
_cell_length_c 7.2310
_cell_angle_alpha 90.00
_cell_angle_beta 112.25
_cell_angle_gamma 90.00
_space_group_name_H-M_alt 'C 1 2/m 1'
_space_group_IT_number 12
loop_
_space_group_symop_operation_xyz
'x,y,z'
'-x,-y,-z'
'-x,y,-z'
'x,-y,z'
'x+1/2,y+1/2,z'
'-x+1/2,-y+1/2,-z'
'-x+1/2,y+1/2,-z'
'x+1/2,-y+1/2,z'
loop_
_atom_site_label
_atom_site_type_symbol
_atom_site_fract_x
_atom_site_fract_y
_atom_site_fract_z
Er1 Er 0.1476 0.0000 0.2670
Cd1 Cd 0.0000 0.5000 0.5000
Cd2 Cd 0.0991 0.5000 0.9299
In1 In 0.1533 0.0000 0.7229



Run 2
# PBE Er2Cd3In2, relaxed
# N(E_F): 6.37 states/eV per cell
data_Er2Cd3In2
_chemical_formula_sum 'Er4 Cd6 In4'
_cell_length_a 4.6569
_cell_length_b 21.7721
_cell_length_c 3.4262
_cell_angle_alpha 90.00
_cell_angle_beta 90.00
_cell_angle_gamma 90.00
_space_group_name_H-M_alt 'C m m m'
_space_group_IT_number 65
_space_group_name_Hall '-C 2 2'
loop_
_atom_site_label
_atom_site_type_symbol
_atom_site_fract_x
_atom_site_fract_y
_atom_site_fract_z
Er1 Er 0.0000 0.1510 0.0000
Cd1 Cd 0.0000 0.0000 0.0000
Cd2 Cd 0.0000 0.4310 0.5000
In1 In 0.0000 0.2892 0.5000



What should be chosen as the least stable of them? Choose run 2.



Run 1
# PBE Er4CdIn, relaxed
# N(E_F): 6.49 states/eV per cell
data_Er4CdIn
_chemical_formula_sum 'Er4 Cd1 In1'
_cell_length_a 5.1005
_cell_length_b 5.1005
_cell_length_c 7.2957
_cell_angle_alpha 90.00
_cell_angle_beta 90.00
_cell_angle_gamma 90.00
_space_group_name_H-M_alt 'P 4/m m m'
_space_group_IT_number 123
_space_group_name_Hall '-P 4 2'
loop_
_atom_site_label
_atom_site_type_symbol
_atom_site_fract_x
_atom_site_fract_y
_atom_site_fract_z
Er1 Er 0.0000 0.5000 0.2440
Cd1 Cd 0.0000 0.0000 0.0000
In1 In 0.5000 0.5000 0.5000



Run 2
# PBE Er4CdIn, relaxed
# N(E_F): 17.17 states/eV per cell
data_Er4CdIn
_chemical_formula_sum 'Er8 Cd2 In2'
_cell_length_a 14.1451
_cell_length_b 3.4605
_cell_length_c 7.0074
_cell_angle_alpha 90.00
_cell_angle_beta 104.36
_cell_angle_gamma 90.00
_space_group_name_H-M_alt 'C 1 2/m 1'
_space_group_IT_number 12
loop_
_space_group_symop_operation_xyz
'x,y,z'
'-x,-y,-z'
'-x,y,-z'
'x,-y,z'
'x+1/2,y+1/2,z'
'-x+1/2,-y+1/2,-z'
'-x+1/2,y+1/2,-z'
'x+1/2,-y+1/2,z'
loop_
_atom_site_label
_atom_site_type_symbol
_atom_site_fract_x
_atom_site_fract_y
_atom_site_fract_z
Er1 Er 0.1573 0.0000 0.3291
Er2 Er 0.1580 0.0000 0.8288
Cd1 Cd 0.0000 0.5000 0.5000
In1 In 0.0000 0.5000 0.0000



What should be chosen as the least stable of them? Choose run 1.



Run 1
# PBE ErMgCdIn, relaxed
# N(E_F): 4.54 states/eV per cell
data_ErMgCdIn
_chemical_formula_sum 'Er4 Mg4 Cd4 In4'
_cell_length_a 7.2440
_cell_length_b 7.2440
_cell_length_c 7.2440
_cell_angle_alpha 90.00
_cell_angle_beta 90.00
_cell_angle_gamma 90.00
_space_group_name_H-M_alt 'F -4 3 m'
_space_group_IT_number 216
_space_group_name_Hall 'F -4 2 3'
loop_
_atom_site_label
_atom_site_type_symbol
_atom_site_fract_x
_atom_site_fract_y
_atom_site_fract_z
Er1 Er 0.0000 0.0000 0.0000
Mg1 Mg 0.0000 0.0000 0.5000
Cd1 Cd 0.2500 0.2500 0.2500
In1 In 0.2500 0.2500 0.7500



Run 2
# PBE ErMgCdIn, relaxed
# N(E_F): 1.42 states/eV per cell
data_ErMgCdIn
_chemical_formula_sum 'Er1 Mg1 Cd1 In1'
_cell_length_a 4.1858
_cell_length_b 4.7341
_cell_length_c 4.8191
_cell_angle_alpha 90.00
_cell_angle_beta 90.00
_cell_angle_gamma 90.00
_space_group_name_H-M_alt 'P m m m'
_space_group_IT_number 47
loop_
_space_group_symop_operation_xyz
'x,y,z'
'-x,-y,-z'
'-x,-y,z'
'x,y,-z'
'x,-y,-z'
'-x,y,z'
'-x,y,-z'
'x,-y,z'
loop_
_atom_site_label
_atom_site_type_symbol
_atom_site_fract_x
_atom_site_fract_y
_atom_site_fract_z
Er1 Er 0.0000 0.0000 0.0000
Mg1 Mg 0.0000 0.5000 0.5000
Cd1 Cd 0.5000 0.0000 0.5000
In1 In 0.5000 0.5000 0.0000



What should be chosen as the least stable of them? Choose run 1.